# LaNd2MoN4

An optimized crystal structure of LaNd2MoN4 (GGA-PBE, the Alexandria database).

Output
- calculated density (g/cm3) = 7.20
- M_tot (Bohr magnetons per cell) = 0.00
- formation energy without anion corrections (eV per atom) = -1.005
- crystal system = orthorhombic

a b c (Å): 3.5305 12.2321 12.3737
angles (deg): 90.00 90.00 90.00
Last column: nearest neighbours and their distance in Å.
Space group Cmcm (No. 63)
Symmetry-distinct sites (fractional):
La: 0.0000 0.0845 0.2500 [4 per cell]  2 N 2.60
Nd: 0.0000 0.3694 0.0404 [8 per cell]  6 N 2.43-2.69
Mo: 0.0000 0.1728 0.7500 [4 per cell]  2 N 1.89
N: 0.0000 0.0000 0.0000 [4 per cell]  4 Nd 2.43
N: 0.0000 0.2667 0.6283 [8 per cell]  1 Mo 1.89
N: 0.0000 0.4283 0.2500 [4 per cell]  2 Mo 2.16